Record 1
Here is an optimized crystal structure of CsMg2Os2 from Alexandria via LeMat-Bulk. Energies are from PBE-GGA.

As for the volume: 247 Å³/cell. The value obtained for the electronic total energy is -4.3174 eV per atom. The polymorph energy (0 for the lowest one) comes out at 4.40 kcal/mol of atoms. Its density is 7.562 g/cm3. The formation energy comes out at 0.983 eV per atom.

The structure belongs to space group I4/mmm (No. 139); the cell edges are 5.0954, 5.0954 and 9.5063 Å and the angles 90.00°, 90.00° and 90.00°. The inequivalent atoms are Cs at (0.0000, 0.0000, 0.0000), Mg at (0.0000, 0.5000, 0.2500) and Os at (0.0000, 0.0000, 0.3799).

Record 2
Here is an optimized crystal structure of CsMg3Os from Alexandria via LeMat-Bulk. Energies are from PBE-GGA.

As for the volume: 147 Å³/cell. The value obtained for the electronic total energy is -2.8944 eV per atom. The polymorph energy (0 for the lowest one) comes out at 0.00 kcal/mol of atoms. Its density is 4.484 g/cm3. The formation energy comes out at 0.479 eV per atom.

The structure belongs to space group Pm-3m (No. 221); the cell edges are 5.2737, 5.2737 and 5.2737 Å and the angles 90.00°, 90.00° and 90.00°. The inequivalent atoms are Cs at (0.0000, 0.0000, 0.0000), Mg at (0.0000, 0.5000, 0.5000) and Os at (0.5000, 0.5000, 0.5000).

Record 3
Here is an optimized crystal structure of CsMgOs3 from Alexandria via LeMat-Bulk. Energies are from PBE-GGA.

As for the volume: 114 Å³/cell. The value obtained for the electronic total energy is -4.5090 eV per atom. The polymorph energy (0 for the lowest one) comes out at 0.00 kcal/mol of atoms. Its density is 10.647 g/cm3. The formation energy comes out at 2.718 eV per atom.

The structure belongs to space group Pm-3m (No. 221); the cell edges are 4.8421, 4.8421 and 4.8421 Å and the angles 90.00°, 90.00° and 90.00°. The inequivalent atoms are Cs at (0.0000, 0.0000, 0.0000), Mg at (0.5000, 0.5000, 0.5000) and Os at (0.0000, 0.5000, 0.5000).

Record 4
Here is an optimized crystal structure of Cs2MgOs from Alexandria via LeMat-Bulk. Energies are from PBE-GGA.

As for the volume: 634 Å³/cell. The value obtained for the electronic total energy is -2.1452 eV per atom. The polymorph energy (0 for the lowest one) comes out at 0.00 kcal/mol of atoms. Its density is 5.036 g/cm3. The formation energy comes out at 1.488 eV per atom.

The structure belongs to space group Fm-3m (No. 225); the cell edges are 8.5888, 8.5888 and 8.5888 Å and the angles 90.00°, 90.00° and 90.00°. The inequivalent atoms are Cs at (0.2500, 0.2500, 0.2500), Mg at (0.0000, 0.0000, 0.0000) and Os at (0.0000, 0.0000, 0.5000).

Record 5
Here is an optimized crystal structure of CsMg3Os from Alexandria via LeMat-Bulk. Energies are from PBE-GGA.

As for the volume: 171 Å³/cell. The value obtained for the electronic total energy is -0.7158 eV per atom. The polymorph energy (0 for the lowest one) comes out at 50.24 kcal/mol of atoms. Its density is 3.849 g/cm3. The formation energy comes out at 2.658 eV per atom.

The structure belongs to space group Pm-3m (No. 221); the cell edges are 5.5492, 5.5492 and 5.5492 Å and the angles 90.00°, 90.00° and 90.00°. The inequivalent atoms are Cs at (0.0000, 0.0000, 0.0000), Mg at (0.0000, 0.0000, 0.5000) and Os at (0.5000, 0.5000, 0.5000).

Record 6
Here is an optimized crystal structure of CsMg2Os from Alexandria via LeMat-Bulk. Energies are from PBE-GGA.

As for the volume: 624 Å³/cell. The value obtained for the electronic total energy is -2.8112 eV per atom. The polymorph energy (0 for the lowest one) comes out at 0.00 kcal/mol of atoms. Its density is 3.956 g/cm3. The formation energy comes out at 1.007 eV per atom.

The structure belongs to space group I4_1/amd (No. 141, origin choice 2); the cell edges are 6.0873, 6.0873 and 16.8456 Å and the angles 90.00°, 90.00° and 90.00°. The inequivalent atoms are Cs at (0.0000, 0.2500, 0.3750), Mg at (0.0000, 0.0000, 0.0000) and Os at (0.0000, 0.2500, 0.8750).

Record 7
Here is an optimized crystal structure of CsMgScOs2 from Alexandria via LeMat-Bulk. Energies are from PBE-GGA.

As for the volume: 140 Å³/cell. The value obtained for the electronic total energy is -4.6400 eV per atom. Its density is 6.928 g/cm3. The formation energy comes out at 1.608 eV per atom.

The structure belongs to space group P4/mmm (No. 123); the cell edges are 4.9338, 4.9338 and 5.7369 Å and the angles 90.00°, 90.00° and 90.00°. The inequivalent atoms are Cs at (0.0000, 0.0000, 0.0000), Mg at (0.5000, 0.5000, 0.0000), Sc at (0.5000, 0.5000, 0.5000) and Os at (0.0000, 0.5000, 0.5000).

Record 8
Here is an optimized crystal structure of CsMgZn2Os from Alexandria via LeMat-Bulk. Energies are from PBE-GGA.

As for the volume: 345 Å³/cell. The value obtained for the electronic total energy is -1.0614 eV per atom. Its density is 2.302 g/cm3. The formation energy comes out at 2.184 eV per atom.

The structure belongs to space group P4/mmm (No. 123); the cell edges are 6.8406, 6.8406 and 7.3721 Å and the angles 90.00°, 90.00° and 90.00°. The inequivalent atoms are Cs at (0.0000, 0.0000, 0.0000), Mg at (0.0000, 0.0000, 0.5000), Zn at (0.0000, 0.5000, 0.0000) and Os at (0.5000, 0.5000, 0.5000).

Record 9
Here is an optimized crystal structure of CsMg3P from Alexandria via LeMat-Bulk. Energies are from PBE-GGA.

As for the volume: 159 Å³/cell. The value obtained for the electronic total energy is -1.9707 eV per atom. The polymorph energy (0 for the lowest one) comes out at 0.00 kcal/mol of atoms. Its density is 2.471 g/cm3. The formation energy comes out at 0.239 eV per atom.

The structure belongs to space group Pm-3m (No. 221); the cell edges are 5.4192, 5.4192 and 5.4192 Å and the angles 90.00°, 90.00° and 90.00°. The inequivalent atoms are Cs at (0.0000, 0.0000, 0.0000), Mg at (0.0000, 0.5000, 0.5000) and P at (0.5000, 0.5000, 0.5000).

Record 10
Here is an optimized crystal structure of CsMg3P from Alexandria via LeMat-Bulk. Energies are from PBE-GGA.

As for the volume: 400 Å³/cell. The value obtained for the electronic total energy is -0.7048 eV per atom. The polymorph energy (0 for the lowest one) comes out at 29.19 kcal/mol of atoms. Its density is 0.982 g/cm3. The formation energy comes out at 1.505 eV per atom.

The structure belongs to space group Pm-3m (No. 221); the cell edges are 7.3705, 7.3705 and 7.3705 Å and the angles 90.00°, 90.00° and 90.00°. The inequivalent atoms are Cs at (0.0000, 0.0000, 0.0000), Mg at (0.0000, 0.0000, 0.5000) and P at (0.5000, 0.5000, 0.5000).

Record 11
Here is an optimized crystal structure of Cs2MgP2 from Alexandria via LeMat-Bulk. Energies are from PBE-GGA.

As for the volume: 299 Å³/cell. The value obtained for the electronic total energy is -2.9938 eV per atom. Its density is 3.917 g/cm3. The formation energy comes out at -0.170 eV per atom.

The structure belongs to space group P4/mbm (No. 127); the cell edges are 7.0414, 7.0414 and 6.0207 Å and the angles 90.00°, 90.00° and 90.00°. The inequivalent atoms are Cs at (0.1764, 0.3236, 0.0000), Mg at (0.0000, 0.0000, 0.5000) and P at (0.1133, 0.6133, 0.5000).

Record 12
Here is an optimized crystal structure of CsRb2MgP from Alexandria via LeMat-Bulk. Energies are from PBE-GGA.

As for the volume: 257 Å³/cell. The value obtained for the electronic total energy is -1.9922 eV per atom. Its density is 2.320 g/cm3. The formation energy comes out at -0.034 eV per atom.

The structure belongs to space group P4/mmm (No. 123); the cell edges are 7.1306, 7.1306 and 5.0558 Å and the angles 90.00°, 90.00° and 90.00°. The inequivalent atoms are Cs at (0.0000, 0.0000, 0.0000), Rb at (0.0000, 0.5000, 0.5000), Mg at (0.5000, 0.5000, 0.0000) and P at (0.5000, 0.5000, 0.5000).

Record 13
Here is an optimized crystal structure of CsMgP2S from Alexandria via LeMat-Bulk. Energies are from PBE-GGA.

As for the volume: 170 Å³/cell. The value obtained for the electronic total energy is -1.8957 eV per atom. The polymorph energy (0 for the lowest one) comes out at 30.99 kcal/mol of atoms. The uncorrected formation energy comes out at 1583 meV per atom. Its density is 2.457 g/cm3.

The structure belongs to space group P4/mmm (No. 123); the cell edges are 5.6521, 5.6521 and 5.3144 Å and the angles 90.00°, 90.00° and 90.00°. The inequivalent atoms are Cs at (0.0000, 0.0000, 0.0000), Mg at (0.5000, 0.5000, 0.5000), P at (0.0000, 0.5000, 0.0000) and S at (0.0000, 0.0000, 0.5000).

Record 14
Here is an optimized crystal structure of CsMgP2S from Alexandria via LeMat-Bulk. Energies are from PBE-GGA.

As for the volume: 132 Å³/cell. The value obtained for the electronic total energy is -3.2393 eV per atom. The polymorph energy (0 for the lowest one) comes out at 0.00 kcal/mol of atoms. The uncorrected formation energy comes out at 240 meV per atom. Its density is 3.149 g/cm3.

The structure belongs to space group P4/mmm (No. 123); the cell edges are 5.0695, 5.0695 and 5.1553 Å and the angles 90.00°, 90.00° and 90.00°. The inequivalent atoms are Cs at (0.0000, 0.0000, 0.0000), Mg at (0.5000, 0.5000, 0.5000), P at (0.0000, 0.5000, 0.5000) and S at (0.5000, 0.5000, 0.0000).

Record 15
Here is an optimized crystal structure of CsMgPS2 from Alexandria via LeMat-Bulk. Energies are from PBE-GGA.

As for the volume: 165 Å³/cell. The value obtained for the electronic total energy is -1.9355 eV per atom. The polymorph energy (0 for the lowest one) comes out at 31.05 kcal/mol of atoms. The uncorrected formation energy comes out at 1287 meV per atom. Its density is 2.533 g/cm3.

The structure belongs to space group P4/mmm (No. 123); the cell edges are 5.3635, 5.3635 and 5.7505 Å and the angles 90.00°, 90.00° and 90.00°. The inequivalent atoms are Cs at (0.0000, 0.0000, 0.0000), Mg at (0.5000, 0.5000, 0.5000), P at (0.0000, 0.0000, 0.5000) and S at (0.0000, 0.5000, 0.0000).

Record 16
Here is an optimized crystal structure of CsMgP2S from Alexandria via LeMat-Bulk. Energies are from PBE-GGA.

As for the volume: 129 Å³/cell. The value obtained for the electronic total energy is -3.1020 eV per atom. The polymorph energy (0 for the lowest one) comes out at 3.17 kcal/mol of atoms. The uncorrected formation energy comes out at 377 meV per atom. Its density is 3.231 g/cm3.

The structure belongs to space group P4/mmm (No. 123); the cell edges are 5.1986, 5.1986 and 4.7782 Å and the angles 90.00°, 90.00° and 90.00°. The inequivalent atoms are Cs at (0.0000, 0.0000, 0.0000), Mg at (0.5000, 0.5000, 0.0000), P at (0.0000, 0.5000, 0.5000) and S at (0.5000, 0.5000, 0.5000).

Record 17
Here is an optimized crystal structure of CsMgPS2 from Alexandria via LeMat-Bulk. Energies are from PBE-GGA.

As for the volume: 133 Å³/cell. The value obtained for the electronic total energy is -3.2818 eV per atom. The polymorph energy (0 for the lowest one) comes out at 0.00 kcal/mol of atoms. The uncorrected formation energy comes out at -59 meV per atom. Its density is 3.145 g/cm3.

The structure belongs to space group P4/mmm (No. 123); the cell edges are 5.0986, 5.0986 and 5.1242 Å and the angles 90.00°, 90.00° and 90.00°. The inequivalent atoms are Cs at (0.0000, 0.0000, 0.0000), Mg at (0.5000, 0.5000, 0.5000), P at (0.5000, 0.5000, 0.0000) and S at (0.0000, 0.5000, 0.5000).

Record 18
Here is an optimized crystal structure of Cs2MgPSe4 from Alexandria via LeMat-Bulk. Energies are from PBE-GGA.

As for the volume: 2392 Å³/cell. The value obtained for the electronic total energy is -3.6424 eV per atom. The uncorrected formation energy comes out at -811 meV per atom. Its density is 3.537 g/cm3.

The structure belongs to space group Fddd (No. 70, origin choice 2); the cell edges are 6.2825, 14.7043 and 25.8975 Å and the angles 90.00°, 90.00° and 90.00°. The inequivalent atoms are Cs at (0.1250, 0.1250, 0.3037), Mg at (0.1250, 0.1250, 0.1250), P at (0.1250, 0.1250, 0.6250) and Se at (0.0994, 0.2815, 0.8242).

Record 19
Here is an optimized crystal structure of CsMg2SnP from Alexandria via LeMat-Bulk. Energies are from PBE-GGA.

As for the volume: 204 Å³/cell. The value obtained for the electronic total energy is -1.3532 eV per atom. Its density is 2.694 g/cm3. The formation energy comes out at 1.338 eV per atom.

The structure belongs to space group P4/mmm (No. 123); the cell edges are 6.1726, 6.1726 and 5.3575 Å and the angles 90.00°, 90.00° and 90.00°. The inequivalent atoms are Cs at (0.0000, 0.0000, 0.0000), Mg at (0.0000, 0.5000, 0.0000), Sn at (0.5000, 0.5000, 0.5000) and P at (0.0000, 0.0000, 0.5000).

Record 20
Here is an optimized crystal structure of CsMgSnP from Alexandria via LeMat-Bulk. Energies are from PBE-GGA.

As for the volume: 276 Å³/cell. The value obtained for the electronic total energy is -3.3503 eV per atom. Its density is 3.699 g/cm3. The formation energy comes out at -0.385 eV per atom.

The structure belongs to space group P4/nmm (No. 129, origin choice 2); the cell edges are 4.3415, 4.3415 and 14.6201 Å and the angles 90.00°, 90.00° and 90.00°. The inequivalent atoms are Cs at (0.2500, 0.2500, 0.2330), Mg at (0.2500, 0.7500, 0.0000), Sn at (0.2500, 0.7500, 0.5000) and P at (0.2500, 0.2500, 0.9017).